No. 1
VASP calculation (PBE-GGA) on a relaxed structure of Na3Ti8O16.

offset from the most stable computed form	0.018	eV per atom
spin magnetization	0.003	μB/cell

Structure (CIF):
```
data_Na3Ti8O16
_chemical_formula_sum 'Na6 Ti16 O32'
_cell_length_a 6.1223
_cell_length_b 12.2510
_cell_length_c 8.6523
_cell_angle_alpha 90.00
_cell_angle_beta 90.00
_cell_angle_gamma 90.00
_space_group_name_H-M_alt 'P m m n'
_space_group_IT_number 59
loop_
_space_group_symop_operation_xyz
'x,y,z'
'-x,-y,-z'
'-x+1/2,-y+1/2,z'
'x+1/2,y+1/2,-z'
'x+1/2,-y,-z'
'-x+1/2,y,z'
'-x,y+1/2,-z'
'x,-y+1/2,z'
loop_
_atom_site_label
_atom_site_type_symbol
_atom_site_fract_x
_atom_site_fract_y
_atom_site_fract_z
Na1 Na 0.2500 0.0006 0.1263
Na2 Na 0.2500 0.7500 0.3770
Ti1 Ti 0.0000 0.0000 0.5000
Ti2 Ti 0.0051 0.2500 0.0084
Ti3 Ti 0.2500 0.1276 0.7407
Ti4 Ti 0.2500 0.6269 0.7477
O1 O 0.0348 0.7500 0.7653
O2 O 0.0361 0.2500 0.7694
O3 O 0.0378 0.0012 0.7307
O4 O 0.2500 0.1080 0.5168
O5 O 0.2500 0.1436 0.9817
O6 O 0.2500 0.6055 0.5165
O7 O 0.2500 0.6430 0.9788
```

---

No. 2
VASP calculation (PBE-GGA) on a relaxed structure of NaTiO.

E	-6.01	eV per atom
spin magnetization	0.000	μB/cell

Structure (CIF):
```
data_NaTiO
_chemical_formula_sum 'Na4 Ti4 O4'
_cell_length_a 5.0066
_cell_length_b 5.0112
_cell_length_c 9.4212
_cell_angle_alpha 90.00
_cell_angle_beta 94.58
_cell_angle_gamma 90.00
_space_group_name_H-M_alt 'C 1 2/m 1'
_space_group_IT_number 12
loop_
_space_group_symop_operation_xyz
'x,y,z'
'-x,-y,-z'
'-x,y,-z'
'x,-y,z'
'x+1/2,y+1/2,z'
'-x+1/2,-y+1/2,-z'
'-x+1/2,y+1/2,-z'
'x+1/2,-y+1/2,z'
loop_
_atom_site_label
_atom_site_type_symbol
_atom_site_fract_x
_atom_site_fract_y
_atom_site_fract_z
Na1 Na 0.2267 0.0000 0.3520
Ti1 Ti 0.2500 0.2500 0.0000
O1 O 0.0197 0.0000 0.1293
```

---

No. 3
VASP calculation (PBE-GGA) on a relaxed structure of Na4Ti7O16.

offset from the most stable computed form	0.000	eV per atom
spin magnetization	0.000	μB/cell

Structure (CIF):
```
data_Na4Ti7O16
_chemical_formula_sum 'Na4 Ti7 O16'
_cell_length_a 6.1587
_cell_length_b 6.0737
_cell_length_c 9.0972
_cell_angle_alpha 90.00
_cell_angle_beta 94.18
_cell_angle_gamma 90.00
_space_group_name_H-M_alt 'P 1 2/m 1'
_space_group_IT_number 10
loop_
_space_group_symop_operation_xyz
'x,y,z'
'-x,-y,-z'
'-x,y,-z'
'x,-y,z'
loop_
_atom_site_label
_atom_site_type_symbol
_atom_site_fract_x
_atom_site_fract_y
_atom_site_fract_z
Na1 Na 0.2182 0.0000 0.1183
Na2 Na 0.2412 0.5000 0.3727
Ti1 Ti 0.0000 0.0000 0.5000
Ti2 Ti 0.2705 0.2549 0.7530
Ti3 Ti 0.5000 0.0000 0.5000
Ti4 Ti 0.5000 0.5000 0.0000
O1 O 0.0558 0.0000 0.7222
O2 O 0.0915 0.5000 0.7150
O3 O 0.2518 0.2073 0.5108
O4 O 0.2830 0.2661 0.9530
O5 O 0.4878 0.0000 0.7188
O6 O 0.5004 0.5000 0.2215
```